No. 1
Below is CeNdDy2Ho after structural relaxation, with properties calculated at the GGA-PBE level.

Calculated values
Mass density   7.8 g/cm3
Energy relative to the elements   1.431 eV/f.u.

a = 7.1650 Å, b = 7.8030 Å, c = 5.8796 Å
α = 90.00°, β = 90.00°, γ = 90.00°
Closest atoms and distances in Å follow each position.
Atoms (fractional coordinates):
1 Ce 0.0000 0.0000 0.0000  2 Ce 2.94, 2 Ho 3.16
2 Ce 0.0000 0.0000 0.5000  2 Ce 2.94, 2 Ho 3.16
3 Nd 0.1631 0.5000 0.7500  6 Dy 3.54-3.83, 2 Nd 3.76
4 Nd 0.8369 0.5000 0.2500  6 Dy 3.54-3.83, 2 Nd 3.76
5 Dy 0.6799 0.7086 0.7500  1 Ho 3.08, 1 Dy 3.26
6 Dy 0.6799 0.2914 0.7500  1 Ho 3.08, 1 Dy 3.26
7 Dy 0.3201 0.7086 0.2500  1 Ho 3.08, 1 Dy 3.26
8 Dy 0.3201 0.2914 0.2500  1 Ho 3.08, 1 Dy 3.26
9 Ho 0.6103 0.0000 0.2500  2 Dy 3.08, 2 Ce 3.16, 2 Ho 3.34
10 Ho 0.3897 0.0000 0.7500  2 Dy 3.08, 2 Ce 3.16, 2 Ho 3.34

No. 2
Below is CeNd2DyHo5 after structural relaxation, with properties calculated at the GGA-PBE level.

Calculated values
Mass density   8.2 g/cm3
Energy relative to the elements   2.445 eV/f.u.

a = 8.5718 Å, b = 8.5718 Å, c = 9.8933 Å
α = 115.67°, β = 115.67°, γ = 90.00°
Closest atoms and distances in Å follow each position.
Atoms (fractional coordinates):
1 Ce 0.2500 0.7500 0.5000  4 Ho 3.01
2 Ce 0.7500 0.2500 0.5000  4 Ho 3.01
3 Nd 0.1206 0.3794 0.0000  1 Nd 2.92, 2 Ho 3.06
4 Nd 0.6206 0.1206 0.0000  1 Nd 2.92, 2 Ho 3.06
5 Nd 0.3794 0.8794 0.0000  1 Nd 2.92, 2 Ho 3.06
6 Nd 0.8794 0.6206 0.0000  1 Nd 2.92, 2 Ho 3.06
7 Dy 0.2500 0.2500 0.5000  10 Ho 3.52-3.91
8 Dy 0.7500 0.7500 0.5000  10 Ho 3.52-3.91
9 Ho 0.9365 0.4365 0.2825  1 Ce 3.01, 1 Nd 3.06
10 Ho 0.6540 0.1540 0.7175  1 Ce 3.01, 1 Nd 3.06
11 Ho 0.0635 0.5635 0.7175  1 Ce 3.01, 1 Nd 3.06
12 Ho 0.1540 0.0635 0.7175  1 Ce 3.01, 1 Nd 3.06
13 Ho 0.5635 0.6540 0.7175  1 Ce 3.01, 1 Nd 3.06
14 Ho 0.8460 0.9365 0.2825  1 Ce 3.01, 1 Nd 3.06
15 Ho 0.4365 0.3460 0.2825  1 Ce 3.01, 1 Nd 3.06
16 Ho 0.3460 0.8460 0.2825  1 Ce 3.01, 1 Nd 3.06
17 Ho 0.5000 0.5000 0.0000  4 Nd 3.41, 8 Ho 3.79
18 Ho 0.0000 0.0000 0.0000  4 Nd 3.41, 8 Ho 3.79

No. 3
Below is CeNdDy4Ho2 after structural relaxation, with properties calculated at the GGA-PBE level.

Calculated values
Mass density   8.3 g/cm3
Energy relative to the elements   0.325 eV/f.u.

a = 3.5475 Å, b = 6.1407 Å, c = 11.7947 Å
α = 80.05°, β = 90.00°, γ = 90.00°
Closest atoms and distances in Å follow each position.
Atoms (fractional coordinates):
1 Ce 0.0000 0.5000 0.5000  6 Dy 3.52, 4 Ho 3.55, 2 Ce 3.55
2 Nd 0.5000 0.5000 0.0000  4 Ho 3.55, 2 Nd 3.55, 6 Dy 3.57
3 Dy 0.0000 0.7489 0.7478  6 Dy 3.52-3.57, 1 Ce 3.52, 3 Ho 3.54-3.58, 2 Nd 3.57
4 Dy 0.0000 0.2511 0.2522  6 Dy 3.52-3.57, 1 Ce 3.52, 3 Ho 3.54-3.58, 2 Nd 3.57
5 Dy 0.5000 0.7461 0.2531  2 Ce 3.52, 6 Dy 3.52-3.57, 3 Ho 3.53-3.59, 1 Nd 3.57
6 Dy 0.5000 0.2539 0.7469  2 Ce 3.52, 6 Dy 3.52-3.57, 3 Ho 3.53-3.59, 1 Nd 3.57
7 Ho 0.0000 0.0000 0.0000  4 Nd 3.55, 2 Ho 3.55, 6 Dy 3.58-3.59
8 Ho 0.5000 0.0000 0.5000  6 Dy 3.53-3.54, 4 Ce 3.55, 2 Ho 3.55

No. 4
Below is CeNd2Dy5Ho after structural relaxation, with properties calculated at the GGA-PBE level.

Calculated values
Mass density   8.1 g/cm3
Energy relative to the elements   2.433 eV/f.u.

a = 8.5639 Å, b = 8.5639 Å, c = 9.9323 Å
α = 115.54°, β = 115.54°, γ = 90.00°
Closest atoms and distances in Å follow each position.
Atoms (fractional coordinates):
1 Ce 0.2500 0.7500 0.5000  4 Dy 3.00
2 Ce 0.7500 0.2500 0.5000  4 Dy 3.00
3 Nd 0.1214 0.3786 0.0000  1 Nd 2.94, 2 Dy 3.08
4 Nd 0.6214 0.1214 0.0000  1 Nd 2.94, 2 Dy 3.08
5 Nd 0.3786 0.8786 0.0000  1 Nd 2.94, 2 Dy 3.08
6 Nd 0.8786 0.6214 0.0000  1 Nd 2.94, 2 Dy 3.08
7 Dy 0.9381 0.4381 0.2838  1 Ce 3.00, 1 Nd 3.08
8 Dy 0.6542 0.1542 0.7162  1 Ce 3.00, 1 Nd 3.08
9 Dy 0.0619 0.5619 0.7162  1 Ce 3.00, 1 Nd 3.08
10 Dy 0.1542 0.0619 0.7162  1 Ce 3.00, 1 Nd 3.08
11 Dy 0.5619 0.6542 0.7162  1 Ce 3.00, 1 Nd 3.08
12 Dy 0.8458 0.9381 0.2838  1 Ce 3.00, 1 Nd 3.08
13 Dy 0.4381 0.3458 0.2838  1 Ce 3.00, 1 Nd 3.08
14 Dy 0.3458 0.8458 0.2838  1 Ce 3.00, 1 Nd 3.08
15 Dy 0.5000 0.5000 0.0000  4 Nd 3.40, 8 Dy 3.80
16 Dy 0.0000 0.0000 0.0000  4 Nd 3.40, 8 Dy 3.80
17 Ho 0.2500 0.2500 0.5000  10 Dy 3.52-3.94
18 Ho 0.7500 0.7500 0.5000  10 Dy 3.52-3.94

Number 1: total magnetization 1.7 μB/f.u.. Number 2: total magnetization 0.9 μB/f.u.. Number 3: total magnetization 0.8 μB/f.u.. Number 4: total magnetization 0.9 μB/f.u..